# 1
## BaRe2BiMo (PBE)

Data for an optimized crystal structure of BaRe2BiMo.

Cell: 4.9727 4.9727 5.7039 Å, 90.00 90.00 90.00°
Space group P4/mmm (No. 123)
Inequivalent atoms, fractional coordinates:
Ba (0.0000, 0.0000, 0.0000) [1 per cell]
Re (0.0000, 0.5000, 0.0000) [2 per cell]
Bi (0.0000, 0.0000, 0.5000) [1 per cell]
Mo (0.5000, 0.5000, 0.5000) [1 per cell]

E ... -4.534 eV per atom

***

# 2
## Ba2BiMoRh (PBE)

Data for an optimized crystal structure of Ba2BiMoRh.

Cell: 6.0257 6.0257 5.2047 Å, 90.00 90.00 90.00°
Space group P4/mmm (No. 123)
Inequivalent atoms, fractional coordinates:
Ba (0.0000, 0.5000, 0.0000) [2 per cell]
Bi (0.0000, 0.0000, 0.5000) [1 per cell]
Mo (0.5000, 0.5000, 0.5000) [1 per cell]
Rh (0.0000, 0.0000, 0.0000) [1 per cell]

E ... -4.652 eV per atom

***

# 3
## BaBi2MoS (PBE)

Data for an optimized crystal structure of BaBi2MoS.

Cell: 5.5259 5.5259 5.7233 Å, 90.00 90.00 90.00°
Space group P4/mmm (No. 123)
Inequivalent atoms, fractional coordinates:
Ba (0.0000, 0.0000, 0.0000) [1 per cell]
Bi (0.0000, 0.5000, 0.5000) [2 per cell]
Mo (0.5000, 0.5000, 0.0000) [1 per cell]
S (0.0000, 0.0000, 0.5000) [1 per cell]

E ... -4.391 eV per atom
Formation energy (no corrections) ... 0.538 eV per atom

***

# 4
## BaBiMoSe2 (PBE)

Data for an optimized crystal structure of BaBiMoSe2.

Cell: 5.6503 5.6503 6.4255 Å, 90.00 90.00 90.00°
Space group P4/mmm (No. 123)
Inequivalent atoms, fractional coordinates:
Ba (0.0000, 0.0000, 0.0000) [1 per cell]
Bi (0.0000, 0.0000, 0.5000) [1 per cell]
Mo (0.5000, 0.5000, 0.0000) [1 per cell]
Se (0.0000, 0.5000, 0.5000) [2 per cell]

E ... -3.844 eV per atom
Formation energy (no corrections) ... 0.877 eV per atom

***

# 5
## Ba2ZrBiMo (PBE)

Data for an optimized crystal structure of Ba2ZrBiMo.

Cell: 6.6441 6.6441 5.5619 Å, 90.00 90.00 90.00°
Space group P4/mmm (No. 123)
Inequivalent atoms, fractional coordinates:
Ba (0.0000, 0.5000, 0.0000) [2 per cell]
Zr (0.0000, 0.0000, 0.5000) [1 per cell]
Bi (0.0000, 0.0000, 0.0000) [1 per cell]
Mo (0.5000, 0.5000, 0.5000) [1 per cell]

E ... -4.297 eV per atom

***

# 6
## BaBi2N (PBE)

Data for an optimized crystal structure of BaBi2N.

Cell: 7.9577 7.9577 7.8527 Å, 90.00 90.00 90.00°
Space group I-42d (No. 122)
Inequivalent atoms, fractional coordinates:
Ba (0.0000, 0.0000, 0.0000) [4 per cell]
Bi (0.1156, 0.2500, 0.6250) [8 per cell]
N (0.0000, 0.0000, 0.5000) [4 per cell]

E ... -4.298 eV per atom
Formation energy (no corrections) ... 0.204 eV per atom

***

# 7
## BaBiN2 (PBE)

Data for an optimized crystal structure of BaBiN2.

Cell: 6.3797 6.3797 8.8079 Å, 90.00 90.00 90.00°
Space group I-42d (No. 122)
Inequivalent atoms, fractional coordinates:
Ba (0.0000, 0.0000, 0.0000) [4 per cell]
Bi (0.0000, 0.0000, 0.5000) [4 per cell]
N (0.1867, 0.2500, 0.6250) [8 per cell]

E ... -5.398 eV per atom
Formation energy (no corrections) ... 0.215 eV per atom

***

# 8
## Ba4Bi2N (PBE)

Data for an optimized crystal structure of Ba4Bi2N.

Cell: 5.4246 5.4246 18.6416 Å, 90.00 90.00 90.00°
Space group I4/mmm (No. 139)
Inequivalent atoms, fractional coordinates:
Ba (0.0000, 0.0000, 0.1660) [4 per cell]
Ba (0.0000, 0.5000, 0.0000) [4 per cell]
Bi (0.0000, 0.0000, 0.3613) [4 per cell]
N (0.0000, 0.0000, 0.0000) [2 per cell]

Energy above the lowest structure with this stoichiometry ... 0 meV/atom
E ... -4.144 eV per atom
Formation energy (no corrections) ... -0.747 eV per atom

***

# 9
## BaBiN2 (PBE)

Data for an optimized crystal structure of BaBiN2.

Cell: 3.5780 3.5780 22.8438 Å, 90.00 90.00 120.00°
Space group R-3m (No. 166, hexagonal axes)
Inequivalent atoms, fractional coordinates:
Ba (0.0000, 0.0000, 0.0000) [3 per cell]
Bi (0.0000, 0.0000, 0.5000) [3 per cell]
N (0.0000, 0.0000, 0.1153) [6 per cell]

E ... -4.786 eV per atom
Formation energy (no corrections) ... 0.827 eV per atom

***

# 10
## Ba9Bi3N2 (PBE)

Data for an optimized crystal structure of Ba9Bi3N2.

Cell: 7.9455 7.9455 9.7676 Å, 90.00 90.00 120.00°
Space group P-3m1 (No. 164)
Inequivalent atoms, fractional coordinates:
Ba (0.0000, 0.5000, 0.0000) [3 per cell]
Ba (0.1730, 0.3459, 0.6760) [6 per cell]
Bi (0.0000, 0.0000, 0.0000) [1 per cell]
Bi (0.3333, 0.6667, 0.3332) [2 per cell]
N (0.3333, 0.6667, 0.8202) [2 per cell]

E ... -3.928 eV per atom
Formation energy (no corrections) ... -0.671 eV per atom

***

# 11
## Ba3Bi2N4 (PBE)

Data for an optimized crystal structure of Ba3Bi2N4.

Cell: 12.0129 12.7472 6.3197 Å, 90.00 100.87 90.00°
Space group C2/c (No. 15)
Inequivalent atoms, fractional coordinates:
Ba (0.0000, 0.1052, 0.2500) [4 per cell]
Ba (0.1120, 0.3933, 0.5430) [8 per cell]
Bi (0.2106, 0.1106, 0.8658) [8 per cell]
N (0.1068, 0.3999, 0.0857) [8 per cell]
N (0.1559, 0.0219, 0.5613) [8 per cell]

E ... -5.317 eV per atom
Formation energy (no corrections) ... -0.113 eV per atom

***

# 12
## BaBiN2 (PBE)

Data for an optimized crystal structure of BaBiN2.

Cell: 5.9329 10.9135 6.3402 Å, 90.00 90.11 90.00°
Space group C2/c (No. 15)
Inequivalent atoms, fractional coordinates:
Ba (0.0000, 0.1823, 0.2500) [4 per cell]
Bi (0.0000, 0.5000, 0.0000) [4 per cell]
N (0.0972, 0.1806, 0.7501) [8 per cell]

E ... -5.961 eV per atom
Formation energy (no corrections) ... -0.347 eV per atom